The following is a PBE calculation of Ce3Pu2Rh4 after structural relaxation, from Alexandria via LeMat-Bulk.

Cell: 8.188 8.188 6.016 Å, 90.42 90.42 64.17°
Positions (direct):
Ce  0.059  0.941  0.750
Ce  0.300  0.460  0.595
Ce  0.460  0.300  0.095
Ce  0.540  0.700  0.905
Ce  0.700  0.540  0.405
Ce  0.941  0.059  0.250
Pu  0.094  0.367  0.083
Pu  0.367  0.094  0.583
Pu  0.633  0.906  0.417
Pu  0.906  0.633  0.917
Rh  0.017  0.297  0.578
Rh  0.222  0.663  0.065
Rh  0.297  0.017  0.078
Rh  0.337  0.778  0.435
Rh  0.663  0.222  0.565
Rh  0.703  0.983  0.922
Rh  0.778  0.337  0.935
Rh  0.983  0.703  0.422

Properties
The calculation puts the total DFT energy (no corrections) at -8.738 eV/atom. The energy relative to the elements is -0.31 eV per atom. Its space group is C2/c, No. 15.

The following is a PBE calculation of PmBeAl after structural relaxation, from Alexandria via LeMat-Bulk.

Cell: 4.460 4.460 4.460 Å, 60.00 60.00 60.00°
Positions (direct):
Pm  0.000  0.000  0.000
Be  0.750  0.750  0.750
Al  0.500  0.500  0.500

Properties
The calculation puts the total DFT energy (no corrections) at -4.224 eV/atom. The energy relative to the elements is -0.15 eV per atom. Its space group is F-43m, No. 216. The calculation puts the energy above the lowest structure with this stoichiometry at 57 meV/atom.

The following is a PBE calculation of Cd4InSb after structural relaxation, from Alexandria via LeMat-Bulk.

Cell: 5.979 5.979 5.979 Å, 60.00 60.00 60.00°
Positions (direct):
Cd  0.125  0.125  0.125
Cd  0.125  0.125  0.625
Cd  0.125  0.625  0.125
Cd  0.625  0.125  0.125
In  0.750  0.750  0.750
Sb  0.500  0.500  0.500

Properties
The calculation puts the total DFT energy (no corrections) at -1.638 eV/atom. Its space group is F-43m, No. 216. As for the uncorrected formation energy: 0.12 eV per atom. The calculation puts the energy above the lowest structure with this stoichiometry at 64 meV/atom.

The following is a PBE calculation of FeP2Se after structural relaxation, from Alexandria via LeMat-Bulk.

Cell: 2.639 2.639 10.571 Å, 90.00 90.00 90.00°
Positions (direct):
Fe  0.000  0.000  0.000
P  0.500  0.500  0.141
P  0.500  0.500  0.859
Se  0.000  0.000  0.500

Properties
The calculation puts the total DFT energy (no corrections) at -5.657 eV/atom. Its space group is P4/mmm, No. 123. As for the uncorrected formation energy: 0.03 eV per atom.

The following is a PBE calculation of SrCdAg2 after structural relaxation, from Alexandria via LeMat-Bulk.

Cell: 5.995 5.995 5.995 Å, 47.45 47.45 47.45°
Positions (direct):
Sr  0.000  0.000  0.000
Cd  0.207  0.207  0.207
Ag  0.486  0.486  0.486
Ag  0.792  0.792  0.792

Properties
The calculation puts the total DFT energy (no corrections) at -2.283 eV/atom. The energy relative to the elements is -0.21 eV per atom. Its space group is R3m, No. 160.

The following is a PBE calculation of Cs3NdSe3 after structural relaxation, from Alexandria via LeMat-Bulk.

Cell: 9.088 15.438 11.714 Å, 90.00 127.51 90.00°
Positions (direct):
Cs  0.116  0.122  0.473
Cs  0.116  0.378  0.973
Cs  0.167  0.114  0.884
Cs  0.167  0.386  0.384
Cs  0.331  0.671  0.540
Cs  0.331  0.829  0.040
Cs  0.669  0.171  0.960
Cs  0.669  0.329  0.460
Cs  0.833  0.614  0.616
Cs  0.833  0.886  0.116
Cs  0.884  0.622  0.027
Cs  0.884  0.878  0.527
Nd  0.447  0.068  0.336
Nd  0.447  0.432  0.836
Nd  0.553  0.568  0.164
Nd  0.553  0.932  0.664
Se  0.175  0.196  0.195
Se  0.175  0.304  0.695
Se  0.329  0.599  0.861
Se  0.329  0.901  0.361
Se  0.358  0.542  0.275
Se  0.358  0.958  0.775
Se  0.642  0.042  0.225
Se  0.642  0.458  0.725
Se  0.671  0.099  0.639
Se  0.671  0.401  0.139
Se  0.825  0.696  0.305
Se  0.825  0.804  0.805

Properties
The calculation puts the total DFT energy (no corrections) at -3.946 eV/atom. Its space group is P2_1/c, No. 14. As for the uncorrected formation energy: -1.41 eV per atom.

The following is a PBE calculation of CrPbAu2 after structural relaxation, from Alexandria via LeMat-Bulk.

Cell: 9.128 9.128 9.128 Å, 20.94 20.94 20.94°
Positions (direct):
Cr  0.000  0.000  0.000
Pb  0.500  0.500  0.500
Au  0.261  0.261  0.261
Au  0.739  0.739  0.739

Properties
The calculation puts the total DFT energy (no corrections) at -4.740 eV/atom. The energy relative to the elements is 0.23 eV per atom. Its space group is R-3m, No. 166.

The following is a PBE calculation of PmDy2InPd4 after structural relaxation, from Alexandria via LeMat-Bulk.

Cell: 8.554 8.554 8.554 Å, 33.38 33.38 33.38°
Positions (direct):
Pm  0.000  0.000  0.000
Dy  0.244  0.244  0.244
Dy  0.756  0.756  0.756
In  0.500  0.500  0.500
Pd  0.124  0.124  0.124
Pd  0.378  0.378  0.378
Pd  0.622  0.622  0.622
Pd  0.876  0.876  0.876

Properties
The calculation puts the total DFT energy (no corrections) at -5.484 eV/atom. The energy relative to the elements is -0.80 eV per atom. Its space group is R-3m, No. 166.

The following is a PBE calculation of Ac3Pr3In2Rh after structural relaxation, from Alexandria via LeMat-Bulk.

Cell: 9.198 9.198 4.020 Å, 90.00 90.00 120.00°
Positions (direct):
Ac  0.000  0.756  0.000
Ac  0.244  0.244  0.000
Ac  0.756  0.000  0.000
Pr  0.000  0.404  0.500
Pr  0.404  0.000  0.500
Pr  0.596  0.596  0.500
In  0.333  0.667  0.000
In  0.667  0.333  0.000
Rh  0.000  0.000  0.500

Properties
The calculation puts the total DFT energy (no corrections) at -4.774 eV/atom. The energy relative to the elements is -0.39 eV per atom. Its space group is P-62m, No. 189.

The following is a PBE calculation of Pu3AgRh2 after structural relaxation, from Alexandria via LeMat-Bulk.

Cell: 3.262 3.262 12.042 Å, 90.00 90.00 90.00°
Positions (direct):
Pu  0.000  0.000  0.000
Pu  0.000  0.000  0.308
Pu  0.000  0.000  0.692
Ag  0.500  0.500  0.500
Rh  0.500  0.500  0.158
Rh  0.500  0.500  0.842

Properties
The calculation puts the total DFT energy (no corrections) at -10.329 eV/atom. The energy relative to the elements is -0.24 eV per atom. Its space group is P4/mmm, No. 123.

The following is a PBE calculation of BaMnPb2W after structural relaxation, from Alexandria via LeMat-Bulk.

Cell: 5.204 5.204 5.655 Å, 90.00 90.00 90.00°
Positions (direct):
Ba  0.000  0.000  0.000
Mn  0.000  0.000  0.500
Pb  0.000  0.500  0.500
Pb  0.500  0.000  0.500
W  0.500  0.500  0.000

Properties
The calculation puts the total DFT energy (no corrections) at -5.035 eV/atom. The energy relative to the elements is 1.26 eV per atom. Its space group is P4/mmm, No. 123.

The following is a PBE calculation of Nb2CN after structural relaxation, from Alexandria via LeMat-Bulk.

Cell: 5.531 5.531 5.531 Å, 33.27 33.27 33.27°
Positions (direct):
Nb  0.243  0.243  0.243
Nb  0.757  0.757  0.757
C  0.500  0.500  0.500
N  0.000  0.000  0.000

Properties
The calculation puts the total DFT energy (no corrections) at -10.146 eV/atom. Its space group is R-3m, No. 166. As for the uncorrected formation energy: -0.72 eV per atom. The calculation puts the energy above the lowest structure with this stoichiometry at 1 meV/atom.

The following is a PBE calculation of YTe after structural relaxation, from Alexandria via LeMat-Bulk.

Cell: 4.260 7.103 7.103 Å, 111.43 90.00 90.00°
Positions (direct):
Y  0.000  0.000  0.000
Y  0.500  0.200  0.662
Y  0.500  0.662  0.200
Te  0.000  0.522  0.867
Te  0.000  0.867  0.522
Te  0.500  0.275  0.275

Properties
The calculation puts the total DFT energy (no corrections) at -5.872 eV/atom. Its space group is Amm2, No. 38. As for the uncorrected formation energy: -1.07 eV per atom.

The following is a PBE calculation of AgAsRh after structural relaxation, from Alexandria via LeMat-Bulk.

Cell: 4.049 4.049 6.411 Å, 90.00 90.00 90.00°
Positions (direct):
Ag  0.250  0.250  0.150
Ag  0.750  0.750  0.850
As  0.250  0.250  0.733
As  0.750  0.750  0.267
Rh  0.250  0.750  0.500
Rh  0.750  0.250  0.500

Properties
The calculation puts the total DFT energy (no corrections) at -5.139 eV/atom. The energy relative to the elements is -0.19 eV per atom. Its space group is P4/nmm, No. 129. The calculation puts the energy above the lowest structure with this stoichiometry at 0 meV/atom.

The following is a PBE calculation of Bi2SeF2 after structural relaxation, from Alexandria via LeMat-Bulk.

Cell: 7.332 7.332 7.332 Å, 122.52 122.52 85.70°
Positions (direct):
Bi  0.260  0.000  0.260
Bi  0.740  0.000  0.740
Bi  0.750  0.510  0.760
Bi  0.750  0.990  0.240
Se  0.300  0.800  0.500
Se  0.550  0.550  0.000
F  0.032  0.243  0.211
F  0.032  0.821  0.789
F  0.571  0.282  0.289
F  0.993  0.282  0.711

Properties
The calculation puts the total DFT energy (no corrections) at -3.986 eV/atom. Its space group is I4_1md, No. 109. As for the uncorrected formation energy: -0.99 eV per atom.

The following is a PBE calculation of AlP2WCl after structural relaxation, from Alexandria via LeMat-Bulk.

Cell: 4.688 4.688 4.409 Å, 90.00 90.00 90.00°
Positions (direct):
Al  0.000  0.000  0.000
P  0.000  0.500  0.000
P  0.500  0.000  0.000
W  0.500  0.500  0.500
Cl  0.000  0.000  0.500

Properties
The calculation puts the total DFT energy (no corrections) at -4.829 eV/atom. Its space group is P4/mmm, No. 123. As for the uncorrected formation energy: 1.04 eV per atom. The calculation puts the energy above the lowest structure with this stoichiometry at 669 meV/atom.

The following is a PBE calculation of Ac3Zn4Hg4 after structural relaxation, from Alexandria via LeMat-Bulk.

Cell: 9.086 9.086 9.086 Å, 148.78 132.99 57.52°
Positions (direct):
Ac  0.000  0.000  0.000
Ac  0.361  0.861  0.500
Ac  0.639  0.139  0.500
Zn  0.019  0.336  0.683
Zn  0.347  0.664  0.683
Zn  0.653  0.336  0.317
Zn  0.981  0.664  0.317
Hg  0.216  0.216  0.000
Hg  0.303  0.500  0.803
Hg  0.697  0.500  0.197
Hg  0.784  0.784  0.000

Properties
The calculation puts the total DFT energy (no corrections) at -2.027 eV/atom. The energy relative to the elements is -0.33 eV per atom. Its space group is Immm, No. 71. The calculation puts the energy above the lowest structure with this stoichiometry at 7 meV/atom.

The following is a PBE calculation of PrSmPuTl after structural relaxation, from Alexandria via LeMat-Bulk.

Cell: 5.536 5.536 5.536 Å, 60.00 60.00 60.00°
Positions (direct):
Pr  0.000  0.000  0.000
Sm  0.500  0.500  0.500
Pu  0.750  0.750  0.750
Tl  0.250  0.250  0.250

Properties
The calculation puts the total DFT energy (no corrections) at -6.528 eV/atom. The energy relative to the elements is 0.02 eV per atom. Its space group is F-43m, No. 216.

The following is a PBE calculation of YTlCr2 after structural relaxation, from Alexandria via LeMat-Bulk.

Cell: 4.952 4.952 4.952 Å, 122.87 119.28 88.18°
Positions (direct):
Y  0.000  0.000  0.000
Tl  0.265  0.765  0.500
Cr  0.520  0.520  0.000
Cr  0.734  0.234  0.500

Properties
The calculation puts the total DFT energy (no corrections) at -6.735 eV/atom. The energy relative to the elements is 0.28 eV per atom. Its space group is Imm2, No. 44. The calculation puts the energy above the lowest structure with this stoichiometry at 52 meV/atom.

The following is a PBE calculation of Li2SnP4O12 after structural relaxation, from Alexandria via LeMat-Bulk.

Cell: 9.858 9.858 4.720 Å, 90.00 90.00 90.00°
Positions (direct):
Li  0.000  0.000  0.000
Li  0.000  0.500  0.000
Li  0.500  0.000  0.000
Li  0.500  0.500  0.000
Sn  0.250  0.250  0.000
Sn  0.750  0.750  0.000
P  0.040  0.750  0.500
P  0.250  0.540  0.500
P  0.250  0.960  0.500
P  0.460  0.750  0.500
P  0.540  0.250  0.500
P  0.750  0.040  0.500
P  0.750  0.460  0.500
P  0.960  0.250  0.500
O  0.034  0.178  0.266
O  0.034  0.322  0.734
O  0.143  0.643  0.654
O  0.143  0.857  0.346
O  0.178  0.034  0.734
O  0.178  0.466  0.266
O  0.322  0.034  0.266
O  0.322  0.466  0.734
O  0.357  0.643  0.346
O  0.357  0.857  0.654
O  0.466  0.178  0.734
O  0.466  0.322  0.266
O  0.534  0.678  0.734
O  0.534  0.822  0.266
O  0.643  0.143  0.346
O  0.643  0.357  0.654
O  0.678  0.534  0.266
O  0.678  0.966  0.734
O  0.822  0.534  0.734
O  0.822  0.966  0.266
O  0.857  0.143  0.654
O  0.857  0.357  0.346
O  0.966  0.678  0.266
O  0.966  0.822  0.734

Properties
The calculation puts the total DFT energy (no corrections) at -6.779 eV/atom. Its space group is P4/nbm, No. 125. As for the uncorrected formation energy: -2.10 eV per atom. The calculation puts the energy above the lowest structure with this stoichiometry at 4 meV/atom.

The following is a PBE calculation of Fe2SiBr after structural relaxation, from Alexandria via LeMat-Bulk.

Cell: 3.118 3.118 7.384 Å, 90.00 90.00 90.00°
Positions (direct):
Fe  0.000  0.000  0.000
Fe  0.500  0.500  0.190
Si  0.000  0.000  0.334
Br  0.500  0.500  0.794

Properties
The calculation puts the total DFT energy (no corrections) at -5.781 eV/atom. Its space group is P4mm, No. 99. As for the uncorrected formation energy: 0.22 eV per atom. The calculation puts the energy above the lowest structure with this stoichiometry at 148 meV/atom.

The following is a PBE calculation of Ga2PdPb2 after structural relaxation, from Alexandria via LeMat-Bulk.

Cell: 6.750 6.750 4.998 Å, 90.00 90.00 90.00°
Positions (direct):
Ga  0.141  0.359  0.000
Ga  0.359  0.859  0.000
Ga  0.641  0.141  0.000
Ga  0.859  0.641  0.000
Pd  0.000  0.000  0.000
Pd  0.500  0.500  0.000
Pb  0.179  0.679  0.500
Pb  0.321  0.179  0.500
Pb  0.679  0.821  0.500
Pb  0.821  0.321  0.500

Properties
The calculation puts the total DFT energy (no corrections) at -3.838 eV/atom. The energy relative to the elements is -0.11 eV per atom. Its space group is P4/mbm, No. 127. The calculation puts the energy above the lowest structure with this stoichiometry at 0 meV/atom.

The following is a PBE calculation of TaZn3Pt4 after structural relaxation, from Alexandria via LeMat-Bulk.

Cell: 2.874 2.874 14.637 Å, 90.00 90.00 90.00°
Positions (direct):
Ta  0.000  0.000  0.000
Zn  0.000  0.000  0.260
Zn  0.000  0.000  0.500
Zn  0.000  0.000  0.740
Pt  0.500  0.500  0.133
Pt  0.500  0.500  0.379
Pt  0.500  0.500  0.621
Pt  0.500  0.500  0.867

Properties
The calculation puts the total DFT energy (no corrections) at -5.590 eV/atom. The energy relative to the elements is -0.61 eV per atom. Its space group is P4/mmm, No. 123.